## Cd5Hg4H2 (PBE)

Data for an optimized crystal structure of Cd5Hg4H2.

abc: 3.250 6.318 20.117
angles: 36.49 94.77 89.79
Sites, in units of the cell vectors:
Cd1 0.145 0.067 0.276
Cd2 0.500 0.000 0.000
H1 0.601 0.340 0.190
Cd3 0.258 0.650 0.519
Hg1 0.169 0.416 0.334
Hg2 0.831 0.584 0.666
H2 0.399 0.660 0.810
Hg3 0.936 0.885 0.904
Hg4 0.064 0.115 0.096
Cd4 0.855 0.933 0.724
Cd5 0.742 0.350 0.481

Calculated total energy = -10.92 eV for the cell shown
Crystal system = triclinic
Total magnetic moment = 0.000 μB/f.u.